Entry 1:
A plane-wave DFT calculation with PBE was carried out for a relaxed structure of Nb4GePt2.

extended XYZ file:
```
7
Lattice="-2.3423 2.3423 6.5863 2.3423 -2.3423 6.5863 2.3423 2.3423 -6.5863" Properties=species:S:1:pos:R:3 pbc="T T T"
Nb 2.3423 0.0000 0.0000
Nb 0.0000 0.0000 2.4872
Nb 0.0000 2.3423 0.0000
Nb 0.0000 0.0000 10.6853
Ge 0.0000 0.0000 0.0000
Pt 0.0000 0.0000 4.9944
Pt 0.0000 0.0000 8.1781
```

spin magnetization: 0.00 μB per cell
SG: No. 139
Fermi-level density of states: 7.03 states/eV/f.u.
formation enthalpy at 0 K: 469 meV per atom
raw total energy: -7.6709 eV/atom

=====

Entry 2:
A plane-wave DFT calculation with PBE was carried out for a relaxed structure of La2Tb2Sm7.

extended XYZ file:
```
11
Lattice="8.7403 -5.9649 0.0000 8.7403 5.9649 0.0000 -0.4745 0.0000 3.6443" Properties=species:S:1:pos:R:3 pbc="T T T"
La 3.4520 0.0000 0.6308
La 13.5542 0.0000 3.0135
Tb 8.7403 2.9806 0.0000
Tb 8.7403 -2.9806 0.0000
Sm -0.2372 0.0000 1.8221
Sm 5.6941 2.9060 1.1434
Sm 6.6787 0.0000 2.7413
Sm 11.3121 2.9060 2.5009
Sm 5.6941 -2.9060 1.1434
Sm 10.3275 0.0000 0.9030
Sm 11.3121 -2.9060 2.5009
```

spin magnetization: 0.00 μB per cell
SG: No. 12
Fermi-level density of states: 15.88 states/eV/f.u.
formation enthalpy at 0 K: 115 meV per atom
offset from the most stable computed form: 0.00 eV/f.u.
raw total energy: -4.6256 eV/atom

=====

Entry 3:
A plane-wave DFT calculation with PBE was carried out for a relaxed structure of PmNbCl6.

extended XYZ file:
```
8
Lattice="3.3136 1.9131 6.0106 -3.3136 1.9131 6.0106 0.0000 -3.8263 6.0106" Properties=species:S:1:pos:R:3 pbc="T T T"
Pm 0.0000 0.0000 0.0000
Nb 0.0000 0.0000 9.0159
Cl -2.0482 0.0473 7.5754
Cl -1.0651 -1.7502 10.4564
Cl 0.9831 -1.7975 7.5754
Cl -0.9831 1.7975 10.4564
Cl 1.0651 1.7501 7.5754
Cl 2.0482 -0.0473 10.4564
```

spin magnetization: 2.00 μB per cell
SG: No. 148
Fermi-level density of states: 8.24 states/eV/f.u.
raw total energy: -4.8606 eV/atom

=====

Entry 4:
A plane-wave DFT calculation with PBE was carried out for a relaxed structure of Ac2Ga3Cu4Sn.

extended XYZ file:
```
10
Lattice="4.4703 0.0000 0.0000 0.0000 4.4703 0.0000 0.0000 0.0000 10.3170" Properties=species:S:1:pos:R:3 pbc="T T T"
Ac 0.0000 2.2351 2.4441
Ac 2.2351 0.0000 7.8728
Ga 0.0000 2.2351 9.1105
Ga 2.2351 0.0000 1.2064
Ga 2.2351 2.2351 5.1585
Cu 0.0000 0.0000 0.0000
Cu 0.0000 2.2351 6.6051
Cu 2.2351 0.0000 3.7119
Cu 2.2351 2.2351 0.0000
Sn 0.0000 0.0000 5.1585
```

spin magnetization: 0.00 μB per cell
SG: No. 115
Fermi-level density of states: 7.57 states/eV/f.u.
formation enthalpy at 0 K: -401 meV per atom
raw total energy: -4.1692 eV/atom